# LaPaIn2O8

A relaxed structure of LaPaIn2O8 (PBE, Alexandria).

```
data_LaPaIn2O8
_chemical_formula_sum 'La2 Pa2 In4 O16'
_cell_length_a 7.094
_cell_length_b 7.094
_cell_length_c 7.514
_cell_angle_alpha 90.00
_cell_angle_beta 90.00
_cell_angle_gamma 90.00
_space_group_name_H-M_alt 'I -4 m 2'
_space_group_IT_number 119
_space_group_name_Hall 'I -4 -2'
loop_
_atom_site_label
_atom_site_type_symbol
_atom_site_fract_x
_atom_site_fract_y
_atom_site_fract_z
La1 La 0.000 0.000 0.000
Pa1 Pa 0.000 0.500 0.750
In1 In 0.000 0.000 0.500
In2 In 0.000 0.500 0.250
O1 O 0.000 0.197 0.704
O2 O 0.000 0.329 0.030
```

Output
As for the total energy: -7.11 eV per atom. The calculation puts the formation energy from raw total energies at -207.4 kJ per mole of atoms. The value obtained for the density of states at the Fermi level is 6.11 states/eV/f.u.

---

# YSnF2

A relaxed structure of YSnF2 (PBE, Alexandria).

```
data_YSnF2
_chemical_formula_sum 'Y4 Sn4 F8'
_cell_length_a 5.294
_cell_length_b 5.294
_cell_length_c 13.429
_cell_angle_alpha 90.00
_cell_angle_beta 90.00
_cell_angle_gamma 90.00
_space_group_name_H-M_alt 'I -4 2 d'
_space_group_IT_number 122
_space_group_name_Hall 'I -4 2bw'
loop_
_atom_site_label
_atom_site_type_symbol
_atom_site_fract_x
_atom_site_fract_y
_atom_site_fract_z
Y1 Y 0.000 0.000 0.000
Sn1 Sn 0.000 0.000 0.500
F1 F 0.049 0.250 0.125
```

Output
The energy above the lowest structure with this stoichiometry comes out at 0.00 kJ per mole of atoms. As for the total energy: -5.80 eV per atom. The calculation puts the formation energy from raw total energies at -216.4 kJ per mole of atoms. The value obtained for the density of states at the Fermi level is 4.03 states/eV/f.u.

---

# Hf2Zn3Cu4

A relaxed structure of Hf2Zn3Cu4 (PBE, Alexandria).

```
data_Hf2Zn3Cu4
_chemical_formula_sum 'Hf8 Zn12 Cu16'
_cell_length_a 5.160
_cell_length_b 14.642
_cell_length_c 7.198
_cell_angle_alpha 90.00
_cell_angle_beta 90.00
_cell_angle_gamma 90.00
_space_group_name_H-M_alt 'C m c e'
_space_group_IT_number 64
_space_group_name_Hall '-C 2ac 2'
loop_
_atom_site_label
_atom_site_type_symbol
_atom_site_fract_x
_atom_site_fract_y
_atom_site_fract_z
Hf1 Hf 0.000 0.099 0.101
Zn1 Zn 0.000 0.000 0.500
Zn2 Zn 0.250 0.238 0.750
Cu1 Cu 0.000 0.171 0.484
Cu2 Cu 0.250 0.068 0.750
```

Output
For the calculated formation energy, the calculation gives -105 meV per atom. As for the total energy: -4.56 eV per atom. The value obtained for the density of states at the Fermi level is 6.59 states/eV/f.u.

---

# Li2TcAg

A relaxed structure of Li2TcAg (PBE, Alexandria).

```
data_Li2TcAg
_chemical_formula_sum 'Li8 Tc4 Ag4'
_cell_length_a 6.167
_cell_length_b 6.167
_cell_length_c 6.167
_cell_angle_alpha 90.00
_cell_angle_beta 90.00
_cell_angle_gamma 90.00
_space_group_name_H-M_alt 'F m -3 m'
_space_group_IT_number 225
_space_group_name_Hall '-F 4 2 3'
loop_
_atom_site_label
_atom_site_type_symbol
_atom_site_fract_x
_atom_site_fract_y
_atom_site_fract_z
Li1 Li 0.250 0.250 0.250
Tc1 Tc 0.000 0.000 0.000
Ag1 Ag 0.000 0.000 0.500
```

Output
The energy above the lowest structure with this stoichiometry comes out at 37.80 kJ per mole of atoms. For the calculated formation energy, the calculation gives 504 meV per atom. As for the total energy: -3.76 eV per atom. The value obtained for the density of states at the Fermi level is 1.52 states/eV/f.u.

---

# CrTeW2

A relaxed structure of CrTeW2 (PBE, Alexandria).

```
data_CrTeW2
_chemical_formula_sum 'Cr1 Te1 W2'
_cell_length_a 3.053
_cell_length_b 4.126
_cell_length_c 5.383
_cell_angle_alpha 90.00
_cell_angle_beta 99.62
_cell_angle_gamma 90.00
_space_group_name_H-M_alt 'P 1 2/m 1'
_space_group_IT_number 10
loop_
_space_group_symop_operation_xyz
'x,y,z'
'-x,-y,-z'
'-x,y,-z'
'x,-y,z'
loop_
_atom_site_label
_atom_site_type_symbol
_atom_site_fract_x
_atom_site_fract_y
_atom_site_fract_z
Cr1 Cr 0.000 0.000 0.000
Te1 Te 0.000 0.000 0.500
W1 W 0.432 0.500 0.224
```

Output
As for the total energy: -8.97 eV per atom. The calculation puts the formation energy from raw total energies at 66.9 kJ per mole of atoms. The value obtained for the density of states at the Fermi level is 3.28 states/eV/f.u.

---

# ZnSn3Ru

A relaxed structure of ZnSn3Ru (PBE, Alexandria).

```
data_ZnSn3Ru
_chemical_formula_sum 'Zn1 Sn3 Ru1'
_cell_length_a 5.038
_cell_length_b 5.038
_cell_length_c 5.038
_cell_angle_alpha 90.00
_cell_angle_beta 90.00
_cell_angle_gamma 90.00
_space_group_name_H-M_alt 'P m -3 m'
_space_group_IT_number 221
_space_group_name_Hall '-P 4 2 3'
loop_
_atom_site_label
_atom_site_type_symbol
_atom_site_fract_x
_atom_site_fract_y
_atom_site_fract_z
Zn1 Zn 0.000 0.000 0.000
Sn1 Sn 0.000 0.000 0.500
Ru1 Ru 0.500 0.500 0.500
```

Output
The energy above the lowest structure with this stoichiometry comes out at 82.74 kJ per mole of atoms. For the calculated formation energy, the calculation gives 1071 meV per atom. As for the total energy: -3.44 eV per atom. The value obtained for the density of states at the Fermi level is 5.58 states/eV/f.u.